## Tb8TmTl6 (GGA-PBE)

Data for Tb8TmTl6 after structural relaxation.

Summary:
The density of states at the Fermi level comes out at 21.07 states/eV/f.u. Its formation energy from the elements is -0.137 eV per atom. Its total magnetization is 0.001 μB per formula unit.

POSCAR file:
```
Tb8TmTl6
1.0
4.564 2.635 6.506
-4.564 2.635 6.506
0.000 -5.269 6.506
Tb Tm Tl
8 1 6
Cartesian
-1.522 -2.634 7.635
0.000 0.000 3.247
-3.043 0.001 11.882
-1.520 2.635 7.635
1.520 -2.635 11.882
3.043 -0.001 7.636
0.000 0.000 16.270
1.522 2.634 11.882
0.000 0.000 9.759
-3.021 -0.001 8.520
-1.510 -2.617 10.997
1.511 -2.616 8.520
-1.511 2.616 10.997
1.510 2.617 8.520
3.021 0.001 10.997
```